Entry from the Alexandria database: crystalline La2PmGa2Cu2 at its relaxed geometry (PBE).

Cell lengths 4.455, 4.455, 9.725 Å; angles 76.76, 76.76, 60.00 degrees
Atoms (fractional coordinates):
La 0.128 0.128 0.616
La 0.872 0.872 0.384
Pm 0.000 0.000 0.000
Ga 0.733 0.733 0.801
Ga 0.267 0.267 0.199
Cu 0.604 0.604 0.189
Cu 0.396 0.396 0.811

Mass density, g cm⁻³: 7.10
DOS(E_F), states/eV/cell: 5.686
Formation enthalpy at 0 K, eV per atom: -0.40
SG: R-3m (166)
VASP energy, eV per cell: -31.62